P.
A plane-wave DFT calculation with meta-GGA SCAN was carried out for a PBEsol-optimized structure of LiAg2F6.

Lattice parameters (Å, degrees): 9.0533 9.0533 4.7235 90.00 90.00 120.00
Closest atoms and distances in Å follow each position.
Sites, in units of the cell vectors:
Li (0.0000, 0.0000, 0.0000)  6 F 2.04
Li (0.3333, 0.6667, 0.5124)  6 F 2.00-2.11
Li (0.6667, 0.3333, 0.4876)  6 F 2.00-2.11
Ag (0.0000, 0.3028, 0.5000)  4 F 2.03
Ag (0.0000, 0.6374, 0.0000)  4 F 1.99-2.20
Ag (0.3028, 0.0000, 0.5000)  4 F 2.03
Ag (0.3626, 0.3626, 0.0000)  4 F 1.99-2.20
Ag (0.6374, 0.0000, 0.0000)  4 F 1.99-2.20
Ag (0.6972, 0.6972, 0.5000)  4 F 2.03
F (0.0990, 0.8822, 0.2376)  2 Ag 2.03-2.23, 1 Li 2.04
F (0.1120, 0.5202, 0.2676)  2 Ag 2.03-2.20, 1 Li 2.11
F (0.1178, 0.2168, 0.2376)  2 Ag 2.03-2.23, 1 Li 2.04
F (0.1993, 0.7456, 0.7407)  1 Ag 1.99, 1 Li 2.00
F (0.2168, 0.1178, 0.7624)  2 Ag 2.03-2.23, 1 Li 2.04
F (0.2544, 0.4538, 0.7407)  1 Ag 1.99, 1 Li 2.00
F (0.4082, 0.8880, 0.2676)  2 Ag 2.03-2.20, 1 Li 2.11
F (0.4538, 0.2544, 0.2593)  1 Ag 1.99, 1 Li 2.00
F (0.4798, 0.5918, 0.2676)  2 Ag 2.03-2.20, 1 Li 2.11
F (0.5202, 0.1120, 0.7324)  2 Ag 2.03-2.20, 1 Li 2.11
F (0.5462, 0.8007, 0.7407)  1 Ag 1.99, 1 Li 2.00
F (0.5918, 0.4798, 0.7324)  2 Ag 2.03-2.20, 1 Li 2.11
F (0.7456, 0.1993, 0.2593)  1 Ag 1.99, 1 Li 2.00
F (0.7832, 0.9010, 0.2376)  2 Ag 2.03-2.23, 1 Li 2.04
F (0.8007, 0.5462, 0.2593)  1 Ag 1.99, 1 Li 2.00
F (0.8822, 0.0990, 0.7624)  2 Ag 2.03-2.23, 1 Li 2.04
F (0.8880, 0.4082, 0.7324)  2 Ag 2.03-2.20, 1 Li 2.11
F (0.9010, 0.7832, 0.7624)  2 Ag 2.03-2.23, 1 Li 2.04

size of the total moment = 0.47 μB/f.u.

***

Q.
A plane-wave DFT calculation with meta-GGA SCAN was carried out for a PBEsol-optimized structure of LiAg2F6.

Lattice parameters (Å, degrees): 4.8033 4.8033 10.0505 90.00 90.00 90.00
Closest atoms and distances in Å follow each position.
Sites, in units of the cell vectors:
Li (0.0000, 0.0000, 0.0000)  6 F 2.02-2.18
Li (0.5000, 0.5000, 0.5000)  6 F 2.02-2.18
Ag (0.0000, 0.0000, 0.3351)  6 F 2.05-2.16
Ag (0.0000, 0.0000, 0.6649)  6 F 2.05-2.16
Ag (0.5000, 0.5000, 0.1649)  6 F 2.05-2.16
Ag (0.5000, 0.5000, 0.8351)  6 F 2.05-2.16
F (0.1983, 0.1983, 0.1710)  2 Ag 2.05-2.13, 1 Li 2.18
F (0.1983, 0.1983, 0.8290)  2 Ag 2.05-2.13, 1 Li 2.18
F (0.2029, 0.2029, 0.5000)  1 Li 2.02, 2 Ag 2.16
F (0.2971, 0.7029, 0.0000)  1 Li 2.02, 2 Ag 2.16
F (0.3017, 0.6983, 0.3290)  2 Ag 2.05-2.13, 1 Li 2.18
F (0.3017, 0.6983, 0.6710)  2 Ag 2.05-2.13, 1 Li 2.18
F (0.6983, 0.3017, 0.3290)  2 Ag 2.05-2.13, 1 Li 2.18
F (0.6983, 0.3017, 0.6710)  2 Ag 2.05-2.13, 1 Li 2.18
F (0.7029, 0.2971, 0.0000)  1 Li 2.02, 2 Ag 2.16
F (0.7971, 0.7971, 0.5000)  1 Li 2.02, 2 Ag 2.16
F (0.8017, 0.8017, 0.1710)  2 Ag 2.05-2.13, 1 Li 2.18
F (0.8017, 0.8017, 0.8290)  2 Ag 2.05-2.13, 1 Li 2.18

size of the total moment = 3.03 μB/f.u.

***

R.
A plane-wave DFT calculation with meta-GGA SCAN was carried out for a PBEsol-optimized structure of LiAg2F6.

Lattice parameters (Å, degrees): 6.2218 4.7937 16.3335 90.00 100.99 90.00
Closest atoms and distances in Å follow each position.
Sites, in units of the cell vectors:
Li (0.1042, 0.0399, 0.4263)  5 F 1.93-2.06
Li (0.1042, 0.4601, 0.9263)  5 F 1.93-2.06
Li (0.8958, 0.5399, 0.0737)  5 F 1.93-2.06
Li (0.8958, 0.9601, 0.5737)  5 F 1.93-2.06
Ag (0.2375, 0.0065, 0.7521)  4 F 1.98-2.02
Ag (0.2375, 0.4935, 0.2521)  4 F 1.98-2.02
Ag (0.3429, 0.5130, 0.5767)  4 F 1.99-2.05
Ag (0.3429, 0.9870, 0.0767)  4 F 1.99-2.05
Ag (0.6571, 0.0130, 0.9233)  4 F 1.99-2.05
Ag (0.6571, 0.4870, 0.4233)  4 F 1.99-2.05
Ag (0.7625, 0.5065, 0.7479)  4 F 1.98-2.02
Ag (0.7625, 0.9935, 0.2479)  4 F 1.98-2.02
F (0.1011, 0.2153, 0.3160)  1 Ag 1.98, 1 Li 1.98
F (0.1011, 0.2847, 0.8161)  1 Ag 1.98, 1 Li 1.98
F (0.1105, 0.7288, 0.0179)  2 Li 1.97-1.98, 1 Ag 2.00
F (0.1105, 0.7712, 0.5179)  2 Li 1.97-1.98, 1 Ag 2.00
F (0.1190, 0.2138, 0.6475)  1 Ag 1.99, 1 Li 2.06
F (0.1190, 0.2862, 0.1475)  1 Ag 1.99, 1 Li 2.06
F (0.3466, 0.2271, 0.9773)  1 Li 1.93, 1 Ag 1.99
F (0.3466, 0.2729, 0.4773)  1 Li 1.93, 1 Ag 1.99
F (0.3776, 0.7396, 0.6832)  2 Ag 2.01-2.03
F (0.3776, 0.7604, 0.1832)  2 Ag 2.01-2.03
F (0.3933, 0.6942, 0.3552)  2 Ag 2.02-2.05
F (0.3933, 0.8058, 0.8552)  2 Ag 2.02-2.05
F (0.6067, 0.1942, 0.1448)  2 Ag 2.02-2.05
F (0.6067, 0.3058, 0.6448)  2 Ag 2.02-2.05
F (0.6224, 0.2396, 0.8168)  2 Ag 2.01-2.03
F (0.6224, 0.2604, 0.3168)  2 Ag 2.01-2.03
F (0.6534, 0.7271, 0.5227)  1 Li 1.93, 1 Ag 1.99
F (0.6534, 0.7729, 0.0227)  1 Li 1.93, 1 Ag 1.99
F (0.8810, 0.7138, 0.8525)  1 Ag 1.99, 1 Li 2.06
F (0.8810, 0.7862, 0.3525)  1 Ag 1.99, 1 Li 2.06
F (0.8895, 0.2288, 0.4821)  2 Li 1.97-1.98, 1 Ag 2.00
F (0.8895, 0.2712, 0.9821)  2 Li 1.97-1.98, 1 Ag 2.00
F (0.8989, 0.7153, 0.1840)  1 Ag 1.98, 1 Li 1.98
F (0.8989, 0.7847, 0.6839)  1 Ag 1.98, 1 Li 1.98

size of the total moment = 1.02 μB/f.u.

***

Most stable pick: P. Distance to second place: 15 meV per atom.